Here is a relaxed structure of SrCa2Te from Alexandria. Energies are from PBE.

Values from the calculation:
Magnetization: 0.000 μB per atom
Total DFT energy (no corrections): -2.790 eV per atom
E_form (uncorrected): -0.584 eV/atom

Lattice parameters (Å, degrees): 4.9311 4.7335 7.3936 67.85 90.00 90.00
Fractional positions:
Sr: 0.5000 0.2500 0.2500
Ca: 0.0000 0.8888 0.9728
Ca: 0.0000 0.6112 0.5272
Te: 0.5000 0.7500 0.7500